Record 1
A plane-wave DFT calculation with PBE-GGA was carried out for a geometry-optimized Gd3Mg3CdInHg structure.

Output
Calculated volume   25.48 A^3/atom
E_tot   -25.8 eV for the cell shown

a b c (Å): 7.5535 7.5535 4.6417
angles (deg): 90.00 90.00 120.00
With the nearest neighbours (Å) after each atom.
Positions (direct):
Gd (0.0030, 0.4249, 0.0000)  1 Cd 3.20, 2 Hg 3.22, 2 In 3.25, 2 Mg 3.43
Gd (0.5751, 0.5782, 0.0000)  1 Cd 3.20, 2 Hg 3.22, 2 In 3.25, 2 Mg 3.43
Mg (0.0036, 0.7604, 0.5000)  1 Hg 2.91, 1 In 2.95, 2 Cd 2.95, 2 Mg 3.16
Mg (0.7568, 0.9964, 0.5000)  1 Hg 2.91, 1 In 2.95, 2 Cd 2.95, 2 Mg 3.16
Mg (0.2396, 0.2432, 0.5000)  1 Hg 2.91, 1 In 2.95, 2 Cd 2.95, 2 Mg 3.16
In (0.6667, 0.3333, 0.5000)  3 Mg 2.95, 6 Gd 3.25
Gd (0.4218, 0.9970, 0.0000)  1 Cd 3.20, 2 Hg 3.22, 2 In 3.25, 2 Mg 3.43
Hg (0.3333, 0.6667, 0.5000)  3 Mg 2.91, 6 Gd 3.22
Cd (0.0000, 0.0000, 0.0000)  6 Mg 2.95, 3 Gd 3.20

Record 2
A plane-wave DFT calculation with PBE-GGA was carried out for a geometry-optimized Gd3Mg3Cd2Hg structure.

Output
Calculated volume   25.25 A^3/atom
E_tot   -23.4 eV for the cell shown

a b c (Å): 7.4586 7.4586 4.7172
angles (deg): 90.00 90.00 120.00
With the nearest neighbours (Å) after each atom.
Positions (direct):
Mg (0.0000, 0.7607, 0.5000)  2 Cd 2.90, 2 Hg 2.96, 2 Mg 3.09
Mg (0.7607, 0.0000, 0.5000)  2 Cd 2.90, 2 Hg 2.96, 2 Mg 3.09
Gd (0.0000, 0.4191, 0.0000)  1 Hg 3.13, 4 Cd 3.25, 2 Mg 3.47
Mg (0.2393, 0.2393, 0.5000)  2 Cd 2.90, 2 Hg 2.96, 2 Mg 3.09
Cd (0.3333, 0.6667, 0.5000)  3 Mg 2.90
Gd (0.5809, 0.5809, 0.0000)  1 Hg 3.13, 4 Cd 3.25, 2 Mg 3.47
Gd (0.4191, 0.0000, 0.0000)  1 Hg 3.13, 4 Cd 3.25, 2 Mg 3.47
Hg (0.0000, 0.0000, 0.0000)  6 Mg 2.96, 3 Gd 3.13
Cd (0.6667, 0.3333, 0.5000)  3 Mg 2.90

Record 3
A plane-wave DFT calculation with PBE-GGA was carried out for a geometry-optimized NdGd2Mg3CdHg2 structure.

Output
Calculated volume   25.62 A^3/atom
E_tot   -23.4 eV for the cell shown

a b c (Å): 4.7342 7.5142 7.5142
angles (deg): 120.39 90.00 90.00
With the nearest neighbours (Å) after each atom.
Positions (direct):
Mg (0.5000, 0.0008, 0.7591)  2 Hg 2.88-2.92, 2 Cd 2.99, 2 Mg 3.12-3.15
Gd (0.0000, 0.9986, 0.4239)  1 Cd 3.17, 4 Hg 3.24, 2 Mg 3.45
Mg (0.5000, 0.2411, 0.2411)  2 Hg 2.92, 2 Cd 2.95, 2 Mg 3.12
Gd (0.0000, 0.4239, 0.9986)  1 Cd 3.17, 4 Hg 3.24, 2 Mg 3.45
Nd (0.0000, 0.5753, 0.5753)  1 Cd 3.21, 4 Hg 3.29, 2 Mg 3.44
Hg (0.5000, 0.6675, 0.3293)  3 Mg 2.88-2.92
Cd (0.0000, 0.0045, 0.0045)  6 Mg 2.95-2.99, 2 Gd 3.17, 1 Nd 3.21
Hg (0.5000, 0.3293, 0.6675)  3 Mg 2.88-2.92
Mg (0.5000, 0.7591, 0.0008)  2 Hg 2.88-2.92, 2 Cd 2.99, 2 Mg 3.12-3.15

Record 4
A plane-wave DFT calculation with PBE-GGA was carried out for a geometry-optimized Nd2GdMg3CdHg2 structure.

Output
Calculated volume   26.04 A^3/atom
E_tot   -23.6 eV for the cell shown

a b c (Å): 4.7657 7.5259 7.5259
angles (deg): 119.75 90.00 90.00
With the nearest neighbours (Å) after each atom.
Positions (direct):
Mg (0.5000, 0.9989, 0.7589)  2 Hg 2.91-2.96, 2 Cd 2.98, 2 Mg 3.12-3.15
Hg (0.5000, 0.3378, 0.6657)  3 Mg 2.90-2.96, 2 Gd 3.25
Nd (0.0000, 0.4250, 0.0014)  1 Cd 3.21, 4 Hg 3.29, 2 Mg 3.47
Hg (0.5000, 0.6657, 0.3378)  3 Mg 2.90-2.96, 2 Gd 3.25
Cd (0.0000, 0.9955, 0.9955)  6 Mg 2.98-3.02, 1 Gd 3.17, 2 Nd 3.21
Mg (0.5000, 0.2411, 0.2411)  2 Hg 2.90, 2 Cd 3.02, 2 Mg 3.15
Mg (0.5000, 0.7589, 0.9989)  2 Hg 2.91-2.96, 2 Cd 2.98, 2 Mg 3.12-3.15
Gd (0.0000, 0.5756, 0.5756)  1 Cd 3.17, 4 Hg 3.25, 2 Mg 3.47
Nd (0.0000, 0.0014, 0.4250)  1 Cd 3.21, 4 Hg 3.29, 2 Mg 3.47

Record 5
A plane-wave DFT calculation with PBE-GGA was carried out for a geometry-optimized SrGd2Mg3CdHg2 structure.

Output
Calculated volume   26.53 A^3/atom
E_tot   -20.1 eV for the cell shown

a b c (Å): 4.3048 8.0159 8.0159
angles (deg): 120.31 90.00 90.00
With the nearest neighbours (Å) after each atom.
Positions (direct):
Cd (0.0000, 0.9932, 0.9932)  6 Mg 2.87-2.96
Mg (0.5000, 0.9948, 0.2478)  2 Hg 2.93-3.12, 2 Cd 2.96
Mg (0.5000, 0.7558, 0.7558)  2 Cd 2.87, 2 Hg 3.14
Hg (0.5000, 0.3301, 0.6776)  3 Mg 2.93-3.14, 4 Gd 3.19-3.20
Mg (0.5000, 0.2478, 0.9948)  2 Hg 2.93-3.12, 2 Cd 2.96
Sr (0.0000, 0.4142, 0.4142)  4 Hg 3.31, 1 Cd 3.36, 6 Mg 3.47-3.63
Hg (0.5000, 0.6776, 0.3301)  3 Mg 2.93-3.14, 4 Gd 3.19-3.20
Gd (0.0000, 0.5867, 0.9997)  4 Hg 3.19-3.20, 1 Cd 3.29, 4 Mg 3.45-3.57
Gd (0.0000, 0.9997, 0.5867)  4 Hg 3.19-3.20, 1 Cd 3.29, 4 Mg 3.45-3.57

Record 6
A plane-wave DFT calculation with PBE-GGA was carried out for a geometry-optimized Gd3Mg3ZnCdHg structure.

Output
Calculated volume   24.49 A^3/atom
E_tot   -23.9 eV for the cell shown

a b c (Å): 7.3989 7.3989 4.6488
angles (deg): 90.00 90.00 120.00
With the nearest neighbours (Å) after each atom.
Positions (direct):
Gd (0.5781, 0.5710, 0.0000)  1 Cd 3.15, 2 Zn 3.17, 2 Hg 3.24, 2 Mg 3.37
Mg (0.2462, 0.2425, 0.5000)  1 Zn 2.84, 1 Hg 2.87, 2 Cd 2.94, 2 Mg 3.13
Mg (0.9962, 0.7538, 0.5000)  1 Zn 2.84, 1 Hg 2.87, 2 Cd 2.94, 2 Mg 3.13
Cd (0.0000, 0.0000, 0.0000)  6 Mg 2.94, 3 Gd 3.15
Mg (0.7575, 0.0038, 0.5000)  1 Zn 2.84, 1 Hg 2.87, 2 Cd 2.94, 2 Mg 3.13
Hg (0.3333, 0.6667, 0.5000)  3 Mg 2.87
Gd (0.9929, 0.4219, 0.0000)  1 Cd 3.15, 2 Zn 3.17, 2 Hg 3.24, 2 Mg 3.37
Gd (0.4290, 0.0071, 0.0000)  1 Cd 3.15, 2 Zn 3.17, 2 Hg 3.24, 2 Mg 3.37
Zn (0.6667, 0.3333, 0.5000)  3 Mg 2.84, 6 Gd 3.17